Entry 1:
A PBEsol-optimized structure of Sc3Cd, computed with SCAN.

a = 5.3287 Å, b = 5.3287 Å, c = 5.3287 Å
α = 90.00°, β = 90.00°, γ = 90.00°
With the nearest neighbours (Å) after each atom.
Element x y z (fractional)
1 Sc 0.5000 0.0000 0.0000  2 Cd 2.66
2 Sc 0.0000 0.0000 0.5000  2 Cd 2.66
3 Sc 0.0000 0.5000 0.0000  2 Cd 2.66
4 Cd 0.0000 0.0000 0.0000  6 Sc 2.66

## Properties
The density comes out at 2.714 g cm⁻³. For the energy of formation, the calculation gives 0.94 eV per atom. The energy above the most stable polymorph in this dataset comes out at 26.74 kcal/mol of atoms. The value obtained for the density of states at the Fermi level is 5.56 states/eV/cell. Its crystal system is cubic.



Entry 2:
A PBEsol-optimized structure of Sc5Cd, computed with SCAN.

a = 3.2269 Å, b = 3.2269 Å, c = 13.0829 Å
α = 90.00°, β = 90.00°, γ = 90.00°
With the nearest neighbours (Å) after each atom.
Element x y z (fractional)
1 Sc 0.5000 0.5000 0.8278  12 Sc 3.21-3.23
2 Sc 0.5000 0.5000 0.1722  12 Sc 3.21-3.23
3 Sc 0.0000 0.0000 0.6555  4 Cd 3.06, 8 Sc 3.21-3.23
4 Sc 0.0000 0.0000 0.0000  12 Sc 3.21-3.23
5 Sc 0.0000 0.0000 0.3445  4 Cd 3.06, 8 Sc 3.21-3.23
6 Cd 0.5000 0.5000 0.5000  8 Sc 3.06, 4 Cd 3.23

## Properties
The density comes out at 4.110 g cm⁻³. For the energy of formation, the calculation gives -0.10 eV per atom. The energy above the most stable polymorph in this dataset comes out at 0.24 kcal/mol of atoms. The value obtained for the density of states at the Fermi level is 6.59 states/eV/cell. Its crystal system is tetragonal.